NaV6S8, optimized geometry, DFT PBE; volume = 262.0 Å³/cell; SG = No. 148; crystal system = trigonal; energy relative to the elements, uncorrected = -0.962 eV per atom; distance to the lowest polymorph of the same formula = 74 kJ/mol of formula units; DFT total energy = -6.90 eV per atom
1.0
-2.9551 1.6128 5.4421
-1.9674 -6.0476 0.7115
5.3305 -1.3372 3.2783
V S Na
6 8 1
Direct
0.2080 0.4078 0.5597
0.7920 0.5922 0.4403
0.5922 0.4403 0.7920
0.4078 0.5597 0.2080
0.5597 0.2080 0.4078
0.4403 0.7920 0.5922
0.8692 0.2724 0.6057
0.7276 0.3943 0.1308
0.1308 0.7276 0.3943
0.7602 0.7602 0.7602
0.2398 0.2398 0.2398
0.6057 0.8692 0.2724
0.3943 0.1308 0.7276
0.2724 0.6057 0.8692
0.0000 0.0000 0.0000

***

Na3VS, optimized geometry, DFT PBE; volume = 172.7 Å³/cell; SG = No. 221; crystal system = cubic; energy relative to the elements, uncorrected = 0.927 eV per atom; distance to the lowest polymorph of the same formula = 334 kJ/mol of formula units; DFT total energy = -2.51 eV per atom
1.0
-3.8661 -1.5970 -3.6760
1.7062 -5.2774 0.4983
-3.6266 -0.7803 4.1532
Na V S
3 1 1
Direct
0.0000 0.0000 0.5000
0.5000 0.0000 0.0000
0.0000 0.5000 0.0000
0.0000 0.0000 0.0000
0.5000 0.5000 0.5000

***

Na2V3S6, optimized geometry, DFT PBE; volume = 203.7 Å³/cell; SG = No. 12; crystal system = monoclinic; energy relative to the elements, uncorrected = -0.998 eV per atom; DFT total energy = -5.98 eV per atom
1.0
-5.6995 -0.6409 0.9205
-3.6050 -0.7232 -4.4964
-0.9042 -7.1044 0.7150
S Na V
6 2 3
Direct
0.2681 0.0000 0.2128
0.9407 0.6623 0.1981
0.6030 0.3377 0.1981
0.0593 0.3377 0.8019
0.3970 0.6623 0.8019
0.7319 0.0000 0.7872
0.1721 0.6558 0.5000
0.8279 0.3442 0.5000
0.6506 0.6988 0.0000
0.3494 0.3012 0.0000
0.0000 0.0000 0.0000

***

NaV5S8, optimized geometry, DFT PBE; volume = 227.3 Å³/cell; SG = No. 8; crystal system = monoclinic; energy relative to the elements, uncorrected = -0.990 eV per atom; DFT total energy = -6.70 eV per atom
1.0
3.1797 0.0000 -0.6219
-0.4168 8.1145 -2.1313
0.0698 -0.0033 8.7973
S Na V
8 1 5
Direct
0.9199 0.1957 0.8398
0.8427 0.4999 0.6854
0.1573 0.5001 0.3146
0.0802 0.8042 0.1604
0.5751 0.1804 0.1502
0.4250 0.8197 0.8500
0.7595 0.8428 0.5190
0.2405 0.1572 0.4811
0.4996 0.5000 0.9992
0.7111 0.3596 0.4221
0.6444 0.9869 0.2887
0.3557 0.0131 0.7114
0.0001 0.0000 0.0002
0.2890 0.6404 0.5779

***

NaV6S8, optimized geometry, DFT PBE; volume = 233.3 Å³/cell; SG = No. 147; crystal system = trigonal; energy relative to the elements, uncorrected = -1.014 eV per atom; distance to the lowest polymorph of the same formula = 0 kJ/mol of formula units; DFT total energy = -6.95 eV per atom
1.0
-5.8655 5.0432 -4.7674
0.9324 -8.8478 -1.8474
-2.3503 -0.6974 2.1539
S Na V
8 1 6
Direct
0.6580 0.9490 0.7518
0.2910 0.3420 0.7518
0.3333 0.6667 0.2495
0.3420 0.0510 0.2482
0.0510 0.7090 0.7518
0.6667 0.3333 0.7505
0.7090 0.6580 0.2482
0.9490 0.2910 0.2482
0.0000 0.0000 0.5000
0.4902 0.3753 0.2509
0.3753 0.8851 0.7491
0.6247 0.1149 0.2509
0.1149 0.4902 0.7491
0.8851 0.5098 0.2509
0.5098 0.6247 0.7491

***

NaV3S, optimized geometry, DFT PBE; volume = 86.7 Å³/cell; SG = No. 221; crystal system = cubic; energy relative to the elements, uncorrected = 0.414 eV per atom; distance to the lowest polymorph of the same formula = 0 kJ/mol of formula units; DFT total energy = -6.15 eV per atom
1.0
4.4259 0.0000 0.0000
0.0000 4.4259 0.0000
0.0000 0.0000 4.4259
V Na S
3 1 1
Direct
0.5000 0.0000 0.0000
0.0000 0.5000 0.0000
0.0000 0.0000 0.5000
0.5000 0.5000 0.5000
0.0000 0.0000 0.0000

***

NaV3S, optimized geometry, DFT PBE; volume = 89.5 Å³/cell; SG = No. 221; crystal system = cubic; energy relative to the elements, uncorrected = 2.278 eV per atom; distance to the lowest polymorph of the same formula = 899 kJ/mol of formula units; DFT total energy = -4.28 eV per atom
1.0
4.4733 0.0000 0.0000
0.0000 4.4733 0.0000
0.0000 0.0000 4.4733
Na S V
1 1 3
Direct
0.0000 0.0000 0.0000
0.5000 0.5000 0.5000
0.0000 0.0000 0.5000
0.0000 0.5000 0.0000
0.5000 0.0000 0.0000

***

NaV3S6, optimized geometry, DFT PBE; volume = 431.7 Å³/cell; SG = No. 11; crystal system = monoclinic; energy relative to the elements, uncorrected = -0.900 eV per atom; DFT total energy = -6.24 eV per atom
1.0
3.2172 0.0000 0.0000
0.0000 10.8206 -2.5925
0.0000 0.6836 12.2369
S Na V
12 2 6
Direct
0.7500 0.2525 0.6437
0.2500 0.3552 0.4593
0.7500 0.6448 0.5407
0.2500 0.1386 0.8361
0.2500 0.5366 0.7218
0.2500 0.8769 0.8959
0.2500 0.5996 0.0957
0.7500 0.4634 0.2782
0.7500 0.8614 0.1639
0.2500 0.7475 0.3563
0.7500 0.1231 0.1041
0.7500 0.4004 0.9043
0.2500 0.3316 0.0737
0.7500 0.6684 0.9263
0.2500 0.9669 0.0817
0.7500 0.6516 0.2336
0.2500 0.3484 0.7664
0.7500 0.0331 0.9183
0.2500 0.5489 0.4159
0.7500 0.4511 0.5841

***

Na3Y3VS8, optimized geometry, DFT PBE; volume = 351.6 Å³/cell; SG = No. 166; crystal system = trigonal; energy relative to the elements, uncorrected = -1.575 eV per atom; DFT total energy = -5.94 eV per atom
1.0
-4.2055 -5.0977 -4.0402
0.5505 -0.6702 7.6975
-4.4262 6.0722 -3.0542
S Y Na V
8 3 3 1
Direct
0.7799 0.0111 0.2911
0.7688 0.9889 0.7089
0.2202 0.4403 0.7089
0.2567 0.5134 0.2702
0.2201 0.9889 0.7089
0.7433 0.4866 0.7298
0.2312 0.0111 0.2911
0.7798 0.5597 0.2911
0.5000 0.5000 0.5000
0.5000 0.0000 0.5000
0.0000 0.5000 0.5000
0.5000 0.5000 0.0000
0.0000 0.0000 0.0000
0.0000 0.5000 0.0000
0.0000 0.0000 0.5000

***

Na3ZrV2S6, optimized geometry, DFT PBE; volume = 228.9 Å³/cell; SG = No. 12; crystal system = monoclinic; energy relative to the elements, uncorrected = -1.206 eV per atom; DFT total energy = -5.83 eV per atom
1.0
-1.3076 2.2703 -5.7341
4.4249 -4.4355 0.7004
-5.6470 -4.0035 0.8585
S Na Zr V
6 3 1 2
Direct
0.7250 0.7250 0.2109
0.5844 0.9295 0.7887
0.0705 0.4156 0.2113
0.9295 0.5844 0.7887
0.2750 0.2750 0.7891
0.4156 0.0705 0.2113
0.5000 0.5000 0.5000
0.1643 0.8357 0.5000
0.8357 0.1643 0.5000
0.0000 0.0000 0.0000
0.3328 0.6672 0.0000
0.6672 0.3328 0.0000

***

Na3Zr3VS8, optimized geometry, DFT PBE; volume = 316.9 Å³/cell; SG = No. 166; crystal system = trigonal; energy relative to the elements, uncorrected = -1.407 eV per atom; DFT total energy = -6.19 eV per atom
1.0
-6.5526 0.0180 -3.1938
5.2513 -4.4056 -2.4801
-3.4292 -2.0110 7.0242
Na S V Zr
3 8 1 3
Direct
0.5000 0.5000 0.0000
0.0000 0.0000 0.0000
0.0000 0.5000 0.0000
0.7467 0.9800 0.7133
0.7667 0.0200 0.2867
0.2335 0.4669 0.7133
0.7415 0.4829 0.7242
0.2533 0.0200 0.2867
0.2333 0.9800 0.7133
0.2586 0.5171 0.2758
0.7665 0.5331 0.2867
0.0000 0.0000 0.5000
0.5000 0.5000 0.5000
0.0000 0.5000 0.5000
0.5000 0.0000 0.5000

***

Na2Zr2VS6, optimized geometry, DFT PBE; volume = 235.7 Å³/cell; SG = No. 12; crystal system = monoclinic; energy relative to the elements, uncorrected = -1.381 eV per atom; DFT total energy = -6.26 eV per atom
1.0
-1.2779 -0.8857 6.0992
-4.6358 -0.2812 -4.2483
3.0918 -6.3384 -1.3735
S Zr Na V
6 2 2 1
Direct
0.7481 0.7481 0.7131
0.9267 0.6023 0.2861
0.0733 0.3977 0.7139
0.2519 0.2519 0.2869
0.3977 0.0733 0.7139
0.6023 0.9267 0.2861
0.6667 0.3333 0.5000
0.3333 0.6667 0.5000
0.1687 0.8313 0.0000
0.8313 0.1687 0.0000
0.0000 0.0000 0.5000

***

NaW4S8, optimized geometry, DFT PBE; volume = 235.4 Å³/cell; SG = No. 8; crystal system = monoclinic; energy relative to the elements, uncorrected = -0.618 eV per atom; DFT total energy = -7.25 eV per atom
1.0
-2.1998 0.9642 -2.1776
-2.5868 -7.5298 -3.1341
-7.2984 -0.1198 4.9065
Na W S
1 4 8
Direct
0.5154 0.0023 0.9669
0.8280 0.5137 0.8304
0.6875 0.1402 0.4848
0.2034 0.4898 0.1033
0.3440 0.8630 0.4489
0.1651 0.3116 0.3581
0.8818 0.9711 0.2653
0.8432 0.2964 0.0172
0.8664 0.6916 0.5756
0.1497 0.0321 0.6684
0.5584 0.6350 0.2482
0.1881 0.7071 0.9166
0.4730 0.3682 0.6857

***

Na2WS5, optimized geometry, DFT PBE; volume = 226.6 Å³/cell; SG = No. 44; crystal system = orthorhombic; energy relative to the elements, uncorrected = -0.536 eV per atom; DFT total energy = -5.06 eV per atom
1.0
-2.4017 5.3101 -5.0412
-4.8568 -0.9624 1.2999
3.9275 1.8463 5.9624
S Na W
5 2 1
Direct
0.8149 0.3124 0.0746
0.2597 0.7622 0.0746
0.7798 0.7798 0.5595
0.2597 0.3124 0.0745
0.8149 0.7622 0.0746
0.2159 0.7159 0.4317
0.6618 0.1619 0.3237
0.9704 0.9704 0.9408

***

NaW3S, optimized geometry, DFT PBE; volume = 90.7 Å³/cell; SG = No. 221; crystal system = cubic; energy relative to the elements, uncorrected = 1.159 eV per atom; distance to the lowest polymorph of the same formula = 0 kJ/mol of formula units; DFT total energy = -7.70 eV per atom
1.0
4.4926 0.0000 0.0000
0.0000 4.4926 0.0000
0.0000 0.0000 4.4926
W S Na
3 1 1
Direct
0.0000 0.0000 0.5000
0.0000 0.5000 0.0000
0.5000 0.0000 0.0000
0.0000 0.0000 0.0000
0.5000 0.5000 0.5000

***

Na3W5S12, optimized geometry, DFT PBE; volume = 1824.7 Å³/cell; SG = No. 230; crystal system = cubic; energy relative to the elements, uncorrected = -0.453 eV per atom; DFT total energy = -6.37 eV per atom
1.0
-2.6568 -9.3869 -9.0887
12.8419 3.4877 -0.8360
-2.5239 -4.7756 12.1902
S W Na
48 20 12
Direct
0.4030 0.3917 0.5839
0.8191 0.9030 0.0114
0.6809 0.1923 0.5839
0.1923 0.5114 0.6083
0.1923 0.6809 0.0839
0.0970 0.9161 0.1083
0.3917 0.9886 0.8077
0.1083 0.4161 0.0970
0.6083 0.0114 0.1923
0.9030 0.8191 0.5114
0.0970 0.1809 0.4886
0.0114 0.6083 0.6923
0.5970 0.6083 0.4161
0.8077 0.4886 0.3917
0.8917 0.3077 0.4886
0.0839 0.9030 0.3917
0.1083 0.6923 0.5114
0.1809 0.0970 0.9886
0.5970 0.9886 0.6809
0.4886 0.8077 0.8917
0.3077 0.4161 0.8191
0.6083 0.5970 0.9161
0.9886 0.3917 0.3077
0.4161 0.3077 0.3191
0.3191 0.5114 0.4030
0.8191 0.9161 0.3077
0.8917 0.5839 0.9030
0.1809 0.0839 0.6923
0.9161 0.0970 0.6083
0.0114 0.4030 0.8191
0.8077 0.3191 0.9161
0.5114 0.1923 0.1083
0.9030 0.0839 0.8917
0.5839 0.6923 0.6809
0.9886 0.5970 0.1809
0.3191 0.8077 0.4161
0.5114 0.3191 0.9030
0.4161 0.1083 0.5970
0.3077 0.8917 0.9886
0.0839 0.1809 0.1923
0.6809 0.4886 0.5970
0.4030 0.0114 0.3191
0.6923 0.5839 0.1809
0.5839 0.8917 0.4030
0.9161 0.8191 0.8077
0.6923 0.1083 0.0114
0.4886 0.6809 0.0970
0.3917 0.4030 0.0839
0.0000 0.5000 0.0000
0.6250 0.7500 0.8750
0.2500 0.3750 0.6250
0.5000 0.0000 0.5000
0.3750 0.2500 0.1250
0.8750 0.2500 0.6250
0.3750 0.1250 0.7500
0.7500 0.1250 0.8750
0.0000 0.5000 0.5000
0.6250 0.8750 0.2500
0.0000 0.0000 0.5000
0.5000 0.0000 0.0000
0.1250 0.7500 0.3750
0.2500 0.8750 0.1250
0.5000 0.5000 0.5000
0.1250 0.3750 0.2500
0.0000 0.0000 0.0000
0.5000 0.5000 0.0000
0.8750 0.6250 0.7500
0.7500 0.6250 0.3750
0.2500 0.1250 0.3750
0.8750 0.1250 0.2500
0.7500 0.3750 0.1250
0.8750 0.7500 0.1250
0.6250 0.2500 0.3750
0.3750 0.7500 0.6250
0.2500 0.6250 0.8750
0.1250 0.2500 0.8750
0.6250 0.3750 0.7500
0.1250 0.8750 0.7500
0.3750 0.6250 0.2500
0.7500 0.8750 0.6250

***

Na2WS, optimized geometry, DFT PBE; volume = 231.5 Å³/cell; SG = No. 122; crystal system = tetragonal; energy relative to the elements, uncorrected = 0.546 eV per atom; DFT total energy = -4.38 eV per atom
1.0
-7.7860 -5.1362 -3.8875
6.4083 -5.5582 -5.4913
-0.5424 -6.8492 -2.9982
S W Na
2 2 4
Direct
0.2500 0.7500 0.5000
0.5000 0.5000 0.0000
0.0000 0.0000 0.0000
0.7500 0.2500 0.5000
0.8750 0.7364 0.7500
0.3750 0.5136 0.7500
0.4864 0.1250 0.2500
0.2636 0.6250 0.2500

***

NaW3S, optimized geometry, DFT PBE; volume = 95.7 Å³/cell; SG = No. 221; crystal system = cubic; energy relative to the elements, uncorrected = 3.381 eV per atom; distance to the lowest polymorph of the same formula = 1072 kJ/mol of formula units; DFT total energy = -5.48 eV per atom
1.0
-2.0895 4.0676 -0.1346
-3.9331 -2.0571 -1.1083
-1.0459 -0.3904 4.4366
W S Na
3 1 1
Direct
0.5000 0.0000 0.0000
0.0000 0.0000 0.5000
0.0000 0.5000 0.0000
0.5000 0.5000 0.5000
0.0000 0.0000 0.0000